1.
Nd8Rh3SeI4: optimized geometry, GGA-PBE.

The structure belongs to space group R-3m (No. 166, hexagonal axes); the cell edges are 8.5280, 8.5280 and 24.0441 Å and the angles 90.00°, 90.00° and 120.00°. Symmetry generates all atoms from Nd at (0.0000, 0.0000, 0.2284), Nd at (0.0191, 0.5095, 0.7707), Rh at (0.0000, 0.5000, 0.5000), Se at (0.0000, 0.0000, 0.5000), I at (0.0000, 0.0000, 0.0000) and I at (0.0000, 0.5000, 0.0000).

The energy relative to the elements, uncorrected comes out at -1.014 eV per atom.

2.
Sr2AlHgPd: optimized geometry, GGA-PBE.

The structure belongs to space group P4/mmm (No. 123); the cell edges are 5.9113, 5.9113 and 4.7647 Å and the angles 90.00°, 90.00° and 90.00°. Symmetry generates all atoms from Sr at (0.0000, 0.5000, 0.0000), Al at (0.0000, 0.0000, 0.5000), Hg at (0.5000, 0.5000, 0.5000) and Pd at (0.0000, 0.0000, 0.0000).

The value obtained for the formation energy is -0.405 eV/atom.

3.
TmScBe4: optimized geometry, GGA-PBE.

The structure belongs to space group F-43m (No. 216); the cell edges are 6.9021, 6.9021 and 6.9021 Å and the angles 90.00°, 90.00° and 90.00°. Symmetry generates all atoms from Tm at (0.0000, 0.0000, 0.0000), Sc at (0.2500, 0.2500, 0.7500) and Be at (0.1237, 0.1237, 0.3763).

The value obtained for the formation energy is -0.011 eV/atom.

Number 1: spin magnetization 0.00 μB per formula unit. Number 2: spin magnetization 0.00 μB per formula unit. Number 3: spin magnetization 0.00 μB per formula unit.